The following is a PBE calculation of a geometry-optimized Zn2InTcO6 structure, from Alexandria via LeMat-Bulk.

abc: 7.952 6.441 6.441
angles: 62.17 71.27 71.27
Element x y z (fractional)
O 0.691 0.107 0.142
O 0.191 0.142 0.107
O 0.680 0.642 0.639
O 0.981 0.699 0.285
In 0.750 0.249 0.751
O 0.320 0.358 0.361
O 0.309 0.893 0.858
O 0.519 0.715 0.301
Zn 0.593 0.299 0.333
Zn 0.407 0.701 0.667
In 0.250 0.751 0.249
Tc 0.750 0.764 0.236
O 0.019 0.301 0.715
O 0.180 0.639 0.642
O 0.809 0.858 0.893
O 0.481 0.285 0.699
Zn 0.907 0.667 0.701
Zn 0.093 0.333 0.299
O 0.820 0.361 0.358
Tc 0.250 0.236 0.764

Values from the calculation:
**Calculated volume**: 270 Å³ per cell
**ρ**: 5.40 g/cm³
**Crystal system**: monoclinic
**Formation energy from raw total energies**: -1.270 eV per atom
**Density of states at the Fermi level**: 0.05 states/eV per atom



The following is a PBE calculation of a geometry-optimized InTe2O structure, from Alexandria via LeMat-Bulk.

abc: 5.679 5.679 8.065
angles: 69.39 69.39 90.00
Element x y z (fractional)
In 0.750 0.250 0.500
Te 0.875 0.756 0.750
In 0.000 0.000 0.000
O 0.500 0.500 0.000
Te 0.375 0.494 0.750
Te 0.244 0.625 0.250
O 0.250 0.750 0.500
Te 0.506 0.125 0.250

Values from the calculation:
**Calculated volume**: 226 Å³ per cell
**ρ**: 5.68 g/cm³
**Crystal system**: tetragonal
**Formation energy from raw total energies**: -0.075 eV per atom
**Density of states at the Fermi level**: 0.55 states/eV per atom



The following is a PBE calculation of a geometry-optimized InTeO5 structure, from Alexandria via LeMat-Bulk.

abc: 3.816 5.453 5.453
angles: 72.31 69.52 69.52
Each line ends with the local moment (μB).
Element x y z (fractional)
O 0.500 0.199 0.801  0.15
O 0.262 0.738 0.738  0.25
In 0.000 0.000 0.000  -0.01
O 0.000 0.500 0.500  0.09
Te 0.500 0.500 0.500  -0.03
O 0.500 0.801 0.199  0.15
O 0.738 0.262 0.262  0.25

Values from the calculation:
**Calculated volume**: 97 Å³ per cell
**ρ**: 5.50 g/cm³
**Crystal system**: orthorhombic
**Formation energy from raw total energies**: -0.835 eV per atom
**Density of states at the Fermi level**: 0.49 states/eV per atom